(1)
## Y6Al2NO (PBE)

Data for a relaxed structure of Y6Al2NO.

Results
space-group type: Fm-3m, No. 225
VASP energy: -71.18 eV/cell
Fermi-level density of states: 4.50 states/eV/f.u.
uncorrected formation energy: -1.16 eV/atom

abc: 6.7358 6.7358 6.7358
angles: 60.00 60.00 60.00
Closest atoms and distances in Å follow each position.
Element x y z (fractional)
1 N 0.0000 0.0000 0.0000  6 Y 2.36
2 Y 0.2479 0.2479 0.7521  1 N 2.36, 1 O 2.40
3 Y 0.7521 0.7521 0.2479  1 N 2.36, 1 O 2.40
4 Y 0.7521 0.2479 0.2479  1 N 2.36, 1 O 2.40
5 Y 0.2479 0.7521 0.7521  1 N 2.36, 1 O 2.40
6 Y 0.2479 0.7521 0.2479  1 N 2.36, 1 O 2.40
7 O 0.5000 0.5000 0.5000  6 Y 2.40
8 Al 0.2500 0.2500 0.2500  12 Y 3.37
9 Y 0.7521 0.2479 0.7521  1 N 2.36, 1 O 2.40
10 Al 0.7500 0.7500 0.7500  12 Y 3.37

(2)
## AcHo2Hg2 (PBE)

Data for a relaxed structure of AcHo2Hg2.

Results
space-group type: Cmmm, No. 65
VASP energy: -15.09 eV/cell
Fermi-level density of states: 5.80 states/eV/f.u.

abc: 3.8261 3.8321 10.7528
angles: 79.74 90.00 90.00
Closest atoms and distances in Å follow each position.
Element x y z (fractional)
1 Ho 0.0000 0.8196 0.3609  4 Hg 3.11
2 Ac 0.0000 0.0000 0.0000  8 Hg 3.55, 2 Ho 3.82, 4 Ac 3.83
3 Hg 0.5000 0.3917 0.2165  4 Ho 3.11
4 Ho 0.0000 0.1804 0.6391  4 Hg 3.11
5 Hg 0.5000 0.6083 0.7835  4 Ho 3.11

(3)
## CdIn4GaHg2 (PBE)

Data for a relaxed structure of CdIn4GaHg2.

Results
space-group type: Imma, No. 74
VASP energy: -30.22 eV/cell
Fermi-level density of states: 2.56 states/eV/f.u.

abc: 8.7310 8.7310 10.6243
angles: 127.49 127.49 89.12
Closest atoms and distances in Å follow each position.
Element x y z (fractional)
1 Cd 0.5000 0.5000 0.5000  6 In 3.08-3.11, 2 Cd 3.24
2 In 0.7668 0.7340 0.9997  1 Ga 2.86, 2 Cd 3.11, 2 Hg 3.12
3 Hg 0.5000 0.0000 0.0000  6 In 3.13-3.26, 2 Ga 3.24
4 Ga 0.0000 0.5000 0.5000  6 In 2.86-3.09
5 Hg 0.5000 0.0000 0.5000  6 In 3.13-3.26, 2 Ga 3.24
6 In 0.7580 0.2552 0.5067  3 Hg 3.05-3.13, 1 Cd 3.08, 2 Ga 3.09, 2 In 3.15-3.32
7 In 0.2332 0.2660 0.0003  1 Ga 2.86, 2 Cd 3.11, 2 Hg 3.12
8 In 0.2420 0.7448 0.4933  3 Hg 3.05-3.13, 1 Cd 3.08, 2 Ga 3.09, 2 In 3.15-3.32
9 Hg 0.5000 0.5000 0.0000  6 In 3.05-3.12, 2 Hg 3.24
10 In 0.2340 0.2668 0.4997  1 Ga 2.86, 2 Cd 3.11, 2 Hg 3.12
11 Hg 0.0000 0.0000 0.5000  6 In 3.05-3.12, 2 Hg 3.24
12 In 0.2448 0.7420 0.9933  3 Hg 3.05-3.13, 1 Cd 3.08, 2 Ga 3.09, 2 In 3.15-3.32
13 Cd 0.0000 0.0000 0.0000  6 In 3.08-3.11, 2 Cd 3.24
14 Ga 0.0000 0.5000 0.0000  6 In 2.86-3.09
15 In 0.7660 0.7332 0.5003  1 Ga 2.86, 2 Cd 3.11, 2 Hg 3.12
16 In 0.7553 0.2580 0.0067  3 Hg 3.05-3.13, 1 Cd 3.08, 2 Ga 3.09, 2 In 3.15-3.32

(4)
## LiMg6BO7 (PBE)

Data for a relaxed structure of LiMg6BO7.

Results
space-group type: P4mm, No. 99
distance to the lowest polymorph of the same formula: 0.00 eV per formula unit
VASP energy: -84.72 eV/cell
uncorrected formation energy: -2.12 eV/atom

abc: 4.2771 4.2771 8.1151
angles: 90.00 90.00 90.00
Closest atoms and distances in Å follow each position.
Element x y z (fractional)
1 O 0.5000 0.5000 0.7532  6 Mg 2.03-2.14
2 Mg 0.5000 0.0000 0.7509  6 O 2.02-2.20
3 O 0.0000 0.5000 0.0042  4 Mg 2.06-2.14, 2 Li 2.14
4 O 0.0000 0.5000 0.5025  4 Mg 1.98-2.14, 2 B 2.14
5 Mg 0.5000 0.0000 0.2586  4 O 1.98-2.14
6 O 0.0000 0.0000 0.6883  1 B 1.44
7 Mg 0.0000 0.5000 0.7509  6 O 2.02-2.20
8 Li 0.0000 0.0000 0.0035  4 O 2.14
9 O 0.5000 0.5000 0.2546  6 Mg 2.02-2.14
10 O 0.5000 0.0000 0.0042  4 Mg 2.06-2.14, 2 Li 2.14
11 B 0.0000 0.0000 0.5106  1 O 1.44
12 Mg 0.5000 0.5000 0.5034  6 O 2.02-2.14
13 Mg 0.5000 0.5000 0.0040  6 O 2.03-2.14
14 O 0.5000 0.0000 0.5025  4 Mg 1.98-2.14, 2 B 2.14
15 Mg 0.0000 0.5000 0.2586  4 O 1.98-2.14

(5)
## Sb3Mo (PBE)

Data for a relaxed structure of Sb3Mo.

Results
space-group type: Immm, No. 71
distance to the lowest polymorph of the same formula: 0.57 eV per formula unit
VASP energy: -21.99 eV/cell
Fermi-level density of states: 3.43 states/eV/f.u.
uncorrected formation energy: 0.30 eV/atom

abc: 7.0942 7.0942 7.0942
angles: 152.75 142.79 46.73
Closest atoms and distances in Å follow each position.
Element x y z (fractional)
1 Sb 0.3204 0.3204 0.0000  2 Mo 2.88
2 Mo 0.5000 0.0000 0.5000  8 Sb 2.81-2.88
3 Sb 0.0000 0.5000 0.5000  4 Mo 2.81
4 Sb 0.6796 0.6796 0.0000  2 Mo 2.88

(6)
## Ho3GaC (PBE)

Data for a relaxed structure of Ho3GaC.

Results
space-group type: Pm-3m, No. 221
distance to the lowest polymorph of the same formula: 8.26 eV per formula unit
VASP energy: -20.09 eV/cell
Fermi-level density of states: 1.99 states/eV/f.u.

abc: 5.2744 5.2744 5.2744
angles: 90.00 90.00 90.00
Closest atoms and distances in Å follow each position.
Element x y z (fractional)
1 Ga 0.5000 0.5000 0.5000  6 Ho 2.64
2 Ho 0.0000 0.5000 0.5000  2 Ga 2.64
3 Ho 0.5000 0.5000 0.0000  2 Ga 2.64
4 Ho 0.5000 0.0000 0.5000  2 Ga 2.64
5 C 0.0000 0.0000 0.0000  12 Ho 3.73

(7)
## HfAsPtPb2 (PBE)

Data for a relaxed structure of HfAsPtPb2.

Results
space-group type: P4/mmm, No. 123
VASP energy: -24.39 eV/cell
Fermi-level density of states: 4.49 states/eV/f.u.

abc: 5.6621 4.8914 5.6621
angles: 90.00 90.00 90.00
Closest atoms and distances in Å follow each position.
Element x y z (fractional)
1 Hf 0.0000 0.0000 0.0000  2 Pt 2.45
2 Pb 0.5000 0.0000 0.0000  2 Hf 2.83
3 Pb 0.0000 0.0000 0.5000  2 Hf 2.83
4 Pt 0.0000 0.5000 0.0000  2 Hf 2.45
5 As 0.5000 0.5000 0.5000  8 Pb 3.74, 4 Pt 4.00

(8)
## Ba3Sn9Hg2 (PBE)

Data for a relaxed structure of Ba3Sn9Hg2.

Results
space-group type: Immm, No. 71
VASP energy: -47.45 eV/cell
Fermi-level density of states: 6.96 states/eV/f.u.

abc: 5.3238 9.6166 9.6166
angles: 74.82 73.93 73.93
Closest atoms and distances in Å follow each position.
Element x y z (fractional)
1 Ba 0.3049 0.6951 0.6951  2 Hg 3.45, 10 Sn 3.80-3.86
2 Sn 0.3506 0.0116 0.2873  1 Hg 3.07, 4 Sn 3.07-3.22
3 Ba 0.6951 0.3049 0.3049  2 Hg 3.45, 10 Sn 3.80-3.86
4 Sn 0.3506 0.2873 0.0116  1 Hg 3.07, 4 Sn 3.07-3.22
5 Sn 0.1478 0.5764 0.1279  4 Sn 3.07-3.37
6 Hg 0.5000 0.3263 0.6737  4 Sn 3.07-3.35
7 Sn 0.8522 0.4236 0.8721  4 Sn 3.07-3.37
8 Hg 0.5000 0.6737 0.3263  4 Sn 3.07-3.35
9 Sn 0.6494 0.7127 0.9884  1 Hg 3.07, 4 Sn 3.07-3.22
10 Sn 0.8522 0.8721 0.4236  4 Sn 3.07-3.37
11 Sn 0.0000 0.5000 0.5000  4 Hg 3.35, 4 Sn 3.37
12 Sn 0.6494 0.9884 0.7127  1 Hg 3.07, 4 Sn 3.07-3.22
13 Ba 0.0000 0.0000 0.0000  12 Sn 3.78-3.85
14 Sn 0.1478 0.1279 0.5764  4 Sn 3.07-3.37

(9)
## InBi4H2 (PBE)

Data for a relaxed structure of InBi4H2.

Results
space-group type: P-1, No. 2
VASP energy: -23.43 eV/cell
Fermi-level density of states: 2.47 states/eV/f.u.

abc: 3.3581 7.0493 8.1820
angles: 86.29 99.54 77.90
Closest atoms and distances in Å follow each position.
Element x y z (fractional)
1 Bi 0.2277 0.8992 0.8118  1 H 1.90
2 Bi 0.0457 0.6676 0.3391  1 H 2.40
3 H 0.8342 0.1899 0.4036  1 Bi 1.90
4 Bi 0.7723 0.1008 0.1882  1 H 1.90
5 H 0.1658 0.8101 0.5964  1 Bi 1.90
6 In 0.0000 0.5000 0.0000  4 Bi 3.08-3.41, 2 In 3.36
7 Bi 0.9543 0.3324 0.6609  1 H 2.40